Entry 1:
DFT (PBE) results for a geometry-optimized TiAg2N structure.

Size of the total moment   0.193 μB per atom
Energy   -5.232 eV per atom
Raw formation energy   0.25 eV per atom
N(E_F)   0.436 states/eV/atom
Space-group type   No. 122

Cell: 8.3944 8.3944 6.2475 Å, 47.79 47.79 90.00°
Fractional coordinates of all 8 atoms:
N  0.5000  0.5000  0.0000
N  0.2500  0.7500  0.5000
Ti  0.0000  0.0000  0.0000
Ti  0.7500  0.2500  0.5000
Ag  0.8750  0.7602  0.7500
Ag  0.3750  0.4898  0.7500
Ag  0.5102  0.1250  0.2500
Ag  0.2398  0.6250  0.2500

Entry 2:
DFT (PBE) results for a geometry-optimized Ti2AgN structure.

Size of the total moment   0.000 μB per atom
Energy   -7.663 eV per atom
Raw formation energy   -0.92 eV per atom
N(E_F)   0.545 states/eV/atom
Space-group type   No. 166

Cell: 3.0297 3.0297 7.1881 Å, 77.83 77.83 60.00°
Fractional coordinates of all 4 atoms:
Ag  0.5000  0.5000  0.5000
Ti  0.2796  0.2796  0.1613
Ti  0.7204  0.7204  0.8387
N  0.0000  0.0000  0.0000

Entry 3:
DFT (PBE) results for a geometry-optimized Ti3AgN structure.

Size of the total moment   0.000 μB per atom
Energy   -7.756 eV per atom
Raw formation energy   -0.78 eV per atom
N(E_F)   0.808 states/eV/atom
Space-group type   No. 221
Excess energy over the best structure of this formula in the dataset   0 meV per atom

Cell: 4.1543 4.1543 4.1543 Å, 90.00 90.00 90.00°
Fractional coordinates of all 5 atoms:
Ti  0.0000  0.0000  0.5000
Ti  0.5000  0.0000  0.0000
Ti  0.0000  0.5000  0.0000
N  0.0000  0.0000  0.0000
Ag  0.5000  0.5000  0.5000

Entry 4:
DFT (PBE) results for a geometry-optimized Ti2AgN2 structure.

Size of the total moment   0.057 μB per atom
Energy   -7.172 eV per atom
Raw formation energy   -0.11 eV per atom
N(E_F)   0.481 states/eV/atom
Space-group type   No. 127
Excess energy over the best structure of this formula in the dataset   687 meV per atom

Cell: 6.5739 6.5739 2.7470 Å, 90.00 90.00 90.00°
Fractional coordinates of all 10 atoms:
N  0.8700  0.3700  0.5000
N  0.6300  0.8700  0.5000
N  0.3700  0.1300  0.5000
N  0.1300  0.6300  0.5000
Ti  0.1327  0.3673  0.0000
Ti  0.8673  0.6327  0.0000
Ti  0.3673  0.8673  0.0000
Ti  0.6327  0.1327  0.0000
Ag  0.0000  0.0000  0.0000
Ag  0.5000  0.5000  0.0000

Entry 5:
DFT (PBE) results for a geometry-optimized Ti2AgN3 structure.

Size of the total moment   0.000 μB per atom
Energy   -8.229 eV per atom
Raw formation energy   -0.96 eV per atom
Space-group type   No. 166

Cell: 8.8550 8.8550 8.8550 Å, 19.91 19.91 19.91°
Fractional coordinates of all 6 atoms:
Ag  0.5000  0.5000  0.5000
N  0.0000  0.0000  0.0000
N  0.4187  0.4187  0.4187
N  0.5813  0.5813  0.5813
Ti  0.2822  0.2822  0.2822
Ti  0.7178  0.7178  0.7178

Entry 6:
DFT (PBE) results for a geometry-optimized Ti3AgN structure.

Size of the total moment   0.508 μB per atom
Energy   -5.003 eV per atom
Raw formation energy   1.97 eV per atom
N(E_F)   1.152 states/eV/atom
Space-group type   No. 221
Excess energy over the best structure of this formula in the dataset   2754 meV per atom

Cell: 4.8364 4.8364 4.8364 Å, 90.00 90.00 90.00°
Fractional coordinates of all 5 atoms:
Ti  0.0000  0.0000  0.5000
Ti  0.5000  0.0000  0.0000
Ti  0.0000  0.5000  0.0000
Ag  0.0000  0.0000  0.0000
N  0.5000  0.5000  0.5000

Entry 7:
DFT (PBE) results for a geometry-optimized TiAgN3 structure.

Size of the total moment   0.203 μB per atom
Energy   -6.294 eV per atom
Raw formation energy   0.85 eV per atom
N(E_F)   0.852 states/eV/atom
Space-group type   No. 221

Cell: 3.9479 3.9479 3.9479 Å, 90.00 90.00 90.00°
Fractional coordinates of all 5 atoms:
Ag  0.5000  0.5000  0.5000
Ti  0.0000  0.0000  0.0000
N  0.0000  0.5000  0.0000
N  0.5000  0.0000  0.0000
N  0.0000  0.0000  0.5000

Entry 8:
DFT (PBE) results for a geometry-optimized Ti2AgN2 structure.

Size of the total moment   0.000 μB per atom
Energy   -7.859 eV per atom
Raw formation energy   -0.80 eV per atom
N(E_F)   0.377 states/eV/atom
Space-group type   No. 139
Excess energy over the best structure of this formula in the dataset   0 meV per atom

Cell: 3.6789 3.6789 5.6426 Å, 70.97 70.97 90.00°
Fractional coordinates of all 5 atoms:
N  0.2500  0.7500  0.5000
N  0.7500  0.2500  0.5000
Ti  0.6725  0.6725  0.6550
Ti  0.3275  0.3275  0.3450
Ag  0.0000  0.0000  0.0000